No. 1
# YPaCoPt (GGA-PBE, optimized geometry)
data_YPaCoPt
_space_group_name_H-M_alt 'F -4 3 m'
_space_group_IT_number 216
_space_group_name_Hall 'F -4 2 3'
_cell_length_a 6.8786
_cell_length_b 6.8786
_cell_length_c 6.8786
_cell_angle_alpha 90.00
_cell_angle_beta 90.00
_cell_angle_gamma 90.00
loop_
_atom_site_label
_atom_site_type_symbol
_atom_site_fract_x
_atom_site_fract_y
_atom_site_fract_z
_atom_site_occupancy
Y1 Y 0.0000 0.0000 0.0000 1
Pa1 Pa 0.0000 0.0000 0.5000 1
Co1 Co 0.2500 0.2500 0.2500 1
Pt1 Pt 0.2500 0.2500 0.7500 1
# crystal system: cubic
# total energy: -7.747 eV/atom
# ΔH_f (0 K): -45.4 kJ/mol of atoms
# DOS at the Fermi energy: 1.55 states/eV per atom

---

No. 2
# HAuN2 (GGA-PBE, optimized geometry)
data_HAuN2
_space_group_name_H-M_alt 'R -3 m'
_space_group_IT_number 166
_space_group_name_Hall '-R 3 2"'
_cell_length_a 3.0385
_cell_length_b 3.0385
_cell_length_c 14.6246
_cell_angle_alpha 90.00
_cell_angle_beta 90.00
_cell_angle_gamma 120.00
loop_
_atom_site_label
_atom_site_type_symbol
_atom_site_fract_x
_atom_site_fract_y
_atom_site_fract_z
_atom_site_occupancy
H1 H 0.0000 0.0000 0.0000 1
Au1 Au 0.0000 0.0000 0.5000 1
N1 N 0.0000 0.0000 0.3554 1
# crystal system: trigonal
# total energy: -3.999 eV/atom
# DOS at the Fermi energy: 0.27 states/eV per atom

---

No. 3
# Al2SiNi (GGA-PBE, optimized geometry)
data_Al2SiNi
_space_group_name_H-M_alt 'P m m 2'
_space_group_IT_number 25
_cell_length_a 2.6573
_cell_length_b 3.4717
_cell_length_c 6.1028
_cell_angle_alpha 90.00
_cell_angle_beta 90.00
_cell_angle_gamma 90.00
loop_
_space_group_symop_operation_xyz
'x,y,z'
'-x,-y,z'
'-x,y,z'
'x,-y,z'
loop_
_atom_site_label
_atom_site_type_symbol
_atom_site_fract_x
_atom_site_fract_y
_atom_site_fract_z
_atom_site_occupancy
Al1 Al 0.0000 0.0000 0.0000 1
Al2 Al 0.5000 0.5000 0.2979 1
Si1 Si 0.5000 0.5000 0.7309 1
Ni1 Ni 0.0000 0.0000 0.5475 1
# crystal system: orthorhombic
# total energy: -4.807 eV/atom
# DOS at the Fermi energy: 0.43 states/eV per atom
# uncorrected formation energy: -0.1344 eV/atom

---

No. 4
# LaPr2Nd3Se6 (GGA-PBE, optimized geometry)
data_LaPr2Nd3Se6
_space_group_name_H-M_alt 'C 1 2/m 1'
_space_group_IT_number 12
_cell_length_a 7.3521
_cell_length_b 12.7939
_cell_length_c 7.3756
_cell_angle_alpha 90.00
_cell_angle_beta 109.50
_cell_angle_gamma 90.00
loop_
_space_group_symop_operation_xyz
'x,y,z'
'-x,-y,-z'
'-x,y,-z'
'x,-y,z'
'x+1/2,y+1/2,z'
'-x+1/2,-y+1/2,-z'
'-x+1/2,y+1/2,-z'
'x+1/2,-y+1/2,z'
loop_
_atom_site_label
_atom_site_type_symbol
_atom_site_fract_x
_atom_site_fract_y
_atom_site_fract_z
_atom_site_occupancy
La1 La 0.0000 0.0000 0.0000 1
Pr1 Pr 0.0000 0.3325 0.0000 1
Nd1 Nd 0.0000 0.1676 0.5000 1
Nd2 Nd 0.0000 0.5000 0.5000 1
Se1 Se 0.2484 0.3333 0.7464 1
Se2 Se 0.2494 0.0000 0.7468 1
# crystal system: monoclinic
# total energy: -6.014 eV/atom
# DOS at the Fermi energy: 0.49 states/eV per atom
# uncorrected formation energy: -1.8725 eV/atom

---

No. 5
# FeAg2Se (GGA-PBE, optimized geometry)
data_FeAg2Se
_space_group_name_H-M_alt 'P 4/m m m'
_space_group_IT_number 123
_space_group_name_Hall '-P 4 2'
_cell_length_a 2.8028
_cell_length_b 2.8028
_cell_length_c 9.0753
_cell_angle_alpha 90.00
_cell_angle_beta 90.00
_cell_angle_gamma 90.00
loop_
_atom_site_label
_atom_site_type_symbol
_atom_site_fract_x
_atom_site_fract_y
_atom_site_fract_z
_atom_site_occupancy
Fe1 Fe 0.0000 0.0000 0.0000 1
Ag1 Ag 0.5000 0.5000 0.2186 1
Se1 Se 0.0000 0.0000 0.5000 1
# crystal system: tetragonal
# total energy: -4.088 eV/atom
# DOS at the Fermi energy: 0.68 states/eV per atom
# uncorrected formation energy: 0.3245 eV/atom

---

No. 6
# Sm2AlGa (GGA-PBE, optimized geometry)
data_Sm2AlGa
_space_group_name_H-M_alt 'P 4/m m m'
_space_group_IT_number 123
_space_group_name_Hall '-P 4 2'
_cell_length_a 3.6610
_cell_length_b 3.6610
_cell_length_c 7.3523
_cell_angle_alpha 90.00
_cell_angle_beta 90.00
_cell_angle_gamma 90.00
loop_
_atom_site_label
_atom_site_type_symbol
_atom_site_fract_x
_atom_site_fract_y
_atom_site_fract_z
_atom_site_occupancy
Sm1 Sm 0.0000 0.0000 0.2464 1
Al1 Al 0.5000 0.5000 0.5000 1
Ga1 Ga 0.5000 0.5000 0.0000 1
# crystal system: tetragonal
# total energy: -4.524 eV/atom
# ΔH_f (0 K): -45.5 kJ/mol of atoms
# DOS at the Fermi energy: 0.40 states/eV per atom

---

No. 7
# Dy2BeSi4Pd3 (GGA-PBE, optimized geometry)
data_Dy2BeSi4Pd3
_space_group_name_H-M_alt 'P -4 m 2'
_space_group_IT_number 115
_cell_length_a 3.9953
_cell_length_b 3.9953
_cell_length_c 10.4957
_cell_angle_alpha 90.00
_cell_angle_beta 90.00
_cell_angle_gamma 90.00
loop_
_space_group_symop_operation_xyz
'x,y,z'
'y,-x,-z'
'-x,-y,z'
'-y,x,-z'
'-x,y,z'
'-y,-x,-z'
'x,-y,z'
'y,x,-z'
loop_
_atom_site_label
_atom_site_type_symbol
_atom_site_fract_x
_atom_site_fract_y
_atom_site_fract_z
_atom_site_occupancy
Dy1 Dy 0.0000 0.5000 0.2388 1
Be1 Be 0.5000 0.5000 0.0000 1
Si1 Si 0.0000 0.0000 0.5000 1
Si2 Si 0.0000 0.5000 0.8676 1
Si3 Si 0.5000 0.5000 0.5000 1
Pd1 Pd 0.0000 0.0000 0.0000 1
Pd2 Pd 0.0000 0.5000 0.6357 1
# crystal system: tetragonal
# total energy: -5.785 eV/atom
# DOS at the Fermi energy: 0.35 states/eV per atom
# uncorrected formation energy: -0.7652 eV/atom

---

No. 8
# SnHgBi (GGA-PBE, optimized geometry)
data_SnHgBi
_space_group_name_H-M_alt 'A e m 2'
_space_group_IT_number 39
_cell_length_a 9.9535
_cell_length_b 6.1130
_cell_length_c 6.1243
_cell_angle_alpha 90.00
_cell_angle_beta 90.00
_cell_angle_gamma 90.00
loop_
_space_group_symop_operation_xyz
'x,y,z'
'-x,-y,z'
'-x,y+1/2,z'
'x,-y+1/2,z'
'x,y+1/2,z+1/2'
'-x,-y+1/2,z+1/2'
'-x,y,z+1/2'
'x,-y,z+1/2'
loop_
_atom_site_label
_atom_site_type_symbol
_atom_site_fract_x
_atom_site_fract_y
_atom_site_fract_z
_atom_site_occupancy
Sn1 Sn 0.1099 0.2500 0.0000 1
Hg1 Hg 0.4407 0.2500 0.0439 1
Bi1 Bi 0.2054 0.2500 0.5008 1
# crystal system: orthorhombic
# total energy: -2.691 eV/atom
# ΔH_f (0 K): 3.6 kJ/mol of atoms
# DOS at the Fermi energy: 0.40 states/eV per atom

---

No. 9
# SiSI (GGA-PBE, optimized geometry)
data_SiSI
_space_group_name_H-M_alt 'P 1 21/m 1'
_space_group_IT_number 11
_cell_length_a 3.2228
_cell_length_b 3.8447
_cell_length_c 16.4123
_cell_angle_alpha 90.00
_cell_angle_beta 93.90
_cell_angle_gamma 90.00
loop_
_space_group_symop_operation_xyz
'x,y,z'
'-x,-y,-z'
'-x,y+1/2,-z'
'x,-y+1/2,z'
loop_
_atom_site_label
_atom_site_type_symbol
_atom_site_fract_x
_atom_site_fract_y
_atom_site_fract_z
_atom_site_occupancy
Si1 Si 0.0148 0.2500 0.0424 1
S1 S 0.4554 0.7500 0.8716 1
I1 I 0.1177 0.2500 0.3615 1
# crystal system: monoclinic
# total energy: -3.918 eV/atom
# DOS at the Fermi energy: 0.44 states/eV per atom
# uncorrected formation energy: -0.2179 eV/atom

---

No. 10
# YW2Au (GGA-PBE, optimized geometry)
data_YW2Au
_space_group_name_H-M_alt 'C 1 2/m 1'
_space_group_IT_number 12
_cell_length_a 10.7543
_cell_length_b 3.0849
_cell_length_c 4.8085
_cell_angle_alpha 90.00
_cell_angle_beta 106.01
_cell_angle_gamma 90.00
loop_
_space_group_symop_operation_xyz
'x,y,z'
'-x,-y,-z'
'-x,y,-z'
'x,-y,z'
'x+1/2,y+1/2,z'
'-x+1/2,-y+1/2,-z'
'-x+1/2,y+1/2,-z'
'x+1/2,-y+1/2,z'
loop_
_atom_site_label
_atom_site_type_symbol
_atom_site_fract_x
_atom_site_fract_y
_atom_site_fract_z
_atom_site_occupancy
Y1 Y 0.0000 0.0000 0.0000 1
W1 W 0.2353 0.0000 0.7289 1
Au1 Au 0.0000 0.5000 0.5000 1
# crystal system: monoclinic
# total energy: -8.528 eV/atom
# ΔH_f (0 K): 37.0 kJ/mol of atoms
# DOS at the Fermi energy: 0.64 states/eV per atom

---

No. 11
# Li2AlH (GGA-PBE, optimized geometry)
data_Li2AlH
_space_group_name_H-M_alt 'C 1 m 1'
_space_group_IT_number 8
_cell_length_a 4.9289
_cell_length_b 2.8339
_cell_length_c 7.1987
_cell_angle_alpha 90.00
_cell_angle_beta 102.88
_cell_angle_gamma 90.00
loop_
_space_group_symop_operation_xyz
'x,y,z'
'x,-y,z'
'x+1/2,y+1/2,z'
'x+1/2,-y+1/2,z'
loop_
_atom_site_label
_atom_site_type_symbol
_atom_site_fract_x
_atom_site_fract_y
_atom_site_fract_z
_atom_site_occupancy
Li1 Li 0.0000 0.0000 0.0000 1
Li2 Li 0.2256 0.0000 0.6726 1
Al1 Al 0.2809 0.5000 0.3377 1
H1 H 0.1142 0.5000 0.8396 1
# crystal system: monoclinic
# total energy: -2.947 eV/atom
# DOS at the Fermi energy: 0.17 states/eV per atom

---

No. 12
# NaTc4 (GGA-PBE, optimized geometry)
data_NaTc4
_space_group_name_H-M_alt 'P m -3 m'
_space_group_IT_number 221
_space_group_name_Hall '-P 4 2 3'
_cell_length_a 4.3812
_cell_length_b 4.3812
_cell_length_c 4.3812
_cell_angle_alpha 90.00
_cell_angle_beta 90.00
_cell_angle_gamma 90.00
loop_
_atom_site_label
_atom_site_type_symbol
_atom_site_fract_x
_atom_site_fract_y
_atom_site_fract_z
_atom_site_occupancy
Na1 Na 0.0000 0.0000 0.0000 1
Tc1 Tc 0.0000 0.0000 0.5000 1
Tc2 Tc 0.5000 0.5000 0.5000 1
# crystal system: cubic
# total energy: -5.959 eV/atom
# ΔH_f (0 K): 250.6 kJ/mol of atoms
# DOS at the Fermi energy: 1.26 states/eV per atom